Run w
InSn3Au3 | PBE | relaxed

Properties
Total magnetization ... 0.0000 μB per atom
Mass density ... 7.8 g cm⁻³

abc: 7.6704 7.6704 7.6704
angles: 90.00 90.00 90.00
Fractional positions:
In1 0.0000 0.0000 0.0000
In2 0.5000 0.5000 0.5000
Sn1 0.0000 0.2500 0.5000
Sn2 0.0000 0.7500 0.5000
Sn3 0.2500 0.5000 0.0000
Sn4 0.5000 0.0000 0.2500
Sn5 0.5000 0.0000 0.7500
Sn6 0.7500 0.5000 0.0000
Au1 0.0000 0.5000 0.2500
Au2 0.0000 0.5000 0.7500
Au3 0.2500 0.0000 0.5000
Au4 0.5000 0.2500 0.0000
Au5 0.5000 0.7500 0.0000
Au6 0.7500 0.0000 0.5000

---

Run x
InSn3Au3 | PBE | relaxed

Properties
Total magnetization ... 0.0000 μB per atom
Mass density ... 9.8 g cm⁻³

abc: 7.7086 7.7086 7.7086
angles: 65.12 65.12 65.12
Fractional positions:
In1 0.1636 0.1636 0.1636
In2 0.8364 0.8364 0.8364
Sn1 0.1173 0.6942 0.3949
Sn2 0.3058 0.6051 0.8827
Sn3 0.3949 0.1173 0.6942
Sn4 0.6051 0.8827 0.3058
Sn5 0.6942 0.3949 0.1173
Sn6 0.8827 0.3058 0.6051
Au1 0.0471 0.4299 0.7904
Au2 0.2096 0.9529 0.5701
Au3 0.4299 0.7904 0.0471
Au4 0.5701 0.2096 0.9529
Au5 0.7904 0.0471 0.4299
Au6 0.9529 0.5701 0.2096

---

Run y
InSn3Au3 | PBE | relaxed

Properties
Total magnetization ... 0.0000 μB per atom
Mass density ... 10.1 g cm⁻³

abc: 7.7646 7.7646 6.2253
angles: 94.22 94.22 110.35
Fractional positions:
In1 0.1774 0.1774 0.1513
In2 0.8226 0.8226 0.8487
Sn1 0.1905 0.8095 0.5000
Sn2 0.3003 0.6997 0.0000
Sn3 0.4413 0.4413 0.7223
Sn4 0.5587 0.5587 0.2777
Sn5 0.6997 0.3003 0.0000
Sn6 0.8095 0.1905 0.5000
Au1 0.0411 0.4648 0.2577
Au2 0.1223 0.1223 0.6934
Au3 0.4648 0.0411 0.2577
Au4 0.5352 0.9589 0.7423
Au5 0.8777 0.8777 0.3066
Au6 0.9589 0.5352 0.7423

---

Verdict on stability: run w comes out at the bottom.

---

Run w
In2Sn2Au3 | PBE | relaxed

Properties
Total magnetization ... 0.0000 μB per atom
Mass density ... 10.3 g cm⁻³

abc: 7.2108 7.2108 6.5181
angles: 91.30 91.30 30.29
Fractional positions:
In1 0.1495 0.1495 0.0762
In2 0.8505 0.8505 0.9238
Sn1 0.4063 0.4063 0.3793
Sn2 0.5937 0.5937 0.6207
Au1 0.2452 0.2452 0.6799
Au2 0.5000 0.5000 0.0000
Au3 0.7548 0.7548 0.3201

---

Run x
In2Sn2Au3 | PBE | relaxed

Properties
Total magnetization ... 0.0000 μB per atom
Mass density ... 10.2 g cm⁻³

abc: 7.0544 7.0544 6.7848
angles: 117.60 117.60 35.72
Fractional positions:
In1 0.1086 0.1086 0.4858
In2 0.8914 0.8914 0.5142
Sn1 0.3754 0.3754 0.0444
Sn2 0.6246 0.6246 0.9556
Au1 0.0000 0.0000 0.0000
Au2 0.2501 0.2501 0.2704
Au3 0.7499 0.7499 0.7296

---

Verdict on stability: run w comes out at the bottom.

---

Run w
InSn3Au4 | PBE | relaxed

Properties
Total magnetization ... 0.0000 μB per atom
Mass density ... 11.0 g cm⁻³

abc: 6.9538 8.4823 6.9509
angles: 90.00 112.10 90.00
Fractional positions:
In1 0.0000 0.1258 0.2500
In2 0.0000 0.8742 0.7500
Sn1 0.0000 0.3771 0.7500
Sn2 0.0000 0.6229 0.2500
Sn3 0.5000 0.1238 0.7500
Sn4 0.5000 0.3749 0.2500
Sn5 0.5000 0.6251 0.7500
Sn6 0.5000 0.8762 0.2500
Au1 0.2493 0.1254 0.9984
Au2 0.2493 0.8746 0.4984
Au3 0.2513 0.3741 0.5013
Au4 0.2513 0.6259 0.0013
Au5 0.7487 0.3741 0.9987
Au6 0.7487 0.6259 0.4987
Au7 0.7507 0.1254 0.5016
Au8 0.7507 0.8746 0.0016

---

Run x
InSn3Au4 | PBE | relaxed

Properties
Total magnetization ... 0.0000 μB per atom
Mass density ... 11.4 g cm⁻³

abc: 6.9516 6.9516 6.9516
angles: 128.84 71.19 134.05
Fractional positions:
In1 0.0000 0.0000 0.0000
Sn1 0.0050 0.5050 0.5000
Sn2 0.2785 0.4989 0.7796
Sn3 0.7193 0.4989 0.2204
Au1 0.2762 0.9993 0.2769
Au2 0.5026 0.2517 0.7492
Au3 0.5026 0.7534 0.2508
Au4 0.7224 0.9993 0.7231

---

Verdict on stability: run x comes out at the bottom.